DFT (PBE) results for a geometry-optimized Co7Ge4 structure.

Values from the calculation:
- Space group: P-6m2
- DOS at the Fermi energy: 14.59 states/eV/cell
- Electronic total energy: -6.31 eV/atom
- Volume: 12.33 Å³/atom
- DFT formation energy: -107 meV/atom

Structure (POSCAR):
```
Co7Ge4
1.0
3.971 0.000 0.000
-1.986 3.439 0.000
0.000 0.000 9.927
Co Ge
7 4
Cartesian
0.000 0.000 8.747 Co
0.000 0.000 3.701 Co
0.000 0.000 1.180 Co
0.000 0.000 6.226 Co
1.986 1.146 4.964 Co
0.000 2.293 7.558 Co
0.000 2.293 2.369 Co
1.986 1.146 7.426 Ge
1.986 1.146 2.501 Ge
0.000 2.293 0.000 Ge
0.000 2.293 4.964 Ge
```


DFT (PBE) results for a geometry-optimized CdRu structure.

Values from the calculation:
- Space group: P6_3/mmc
- DOS at the Fermi energy: 2.57 states/eV/cell
- Electronic total energy: -3.61 eV/atom
- Volume: 24.95 Å³/atom
- DFT formation energy: 1486 meV/atom

Structure (POSCAR):
```
CdRu
1.0
4.627 0.000 0.000
-2.314 4.007 0.000
0.000 0.000 5.382
Cd Ru
2 2
Cartesian
0.000 2.672 4.037 Cd
2.314 1.336 1.346 Cd
0.000 2.672 1.346 Ru
2.314 1.336 4.037 Ru
```


DFT (PBE) results for a geometry-optimized Sc2TcO structure.

Values from the calculation:
- Space group: R-3m
- DOS at the Fermi energy: 1.68 states/eV/cell
- Electronic total energy: -7.96 eV/atom
- Volume: 18.79 Å³/atom

Structure (POSCAR):
```
Sc2TcO
1.0
1.947 0.000 7.630
-0.974 1.686 7.630
-0.974 -1.686 7.630
Sc Tc O
2 1 1
Cartesian
0.000 0.000 20.994 Sc
0.000 0.000 1.895 Sc
0.000 0.000 11.445 Tc
0.000 0.000 0.000 O
```


DFT (PBE) results for a geometry-optimized Sr2ReAs structure.

Values from the calculation:
- Space group: P4/mmm
- DOS at the Fermi energy: 2.78 states/eV/cell
- Electronic total energy: -4.68 eV/atom
- Volume: 24.68 Å³/atom
- DFT formation energy: 433 meV/atom

Structure (POSCAR):
```
Sr2ReAs
1.0
-2.725 -0.070 -1.786
0.352 -3.213 -0.412
-5.000 -1.534 7.689
Re As Sr
1 1 2
Cartesian
-4.936 -2.792 4.668 Re
-2.436 -2.025 0.823 As
-0.002 0.000 0.002 Sr
-2.498 -0.766 3.842 Sr
```


Which value of electronic total energy does entry 3 give?
-7.96 eV/atom


What is the electronic total energy in the fourth record?
-4.68 eV/atom


What did the first record say?
DFT (PBE) results for a geometry-optimized Co7Ge4 structure.

Values from the calculation:
- Space group: P-6m2
- DOS at the Fermi energy: 14.59 states/eV/cell
- Electronic total energy: -6.31 eV/atom
- Volume: 12.33 Å³/atom
- DFT formation energy: -107 meV/atom

Structure (POSCAR):
```
Co7Ge4
1.0
3.971 0.000 0.000
-1.986 3.439 0.000
0.000 0.000 9.927
Co Ge
7 4
Cartesian
0.000 0.000 8.747 Co
0.000 0.000 3.701 Co
0.000 0.000 1.180 Co
0.000 0.000 6.226 Co
1.986 1.146 4.964 Co
0.000 2.293 7.558 Co
0.000 2.293 2.369 Co
1.986 1.146 7.426 Ge
1.986 1.146 2.501 Ge
0.000 2.293 0.000 Ge
0.000 2.293 4.964 Ge
```